{"formula": "Rb5Li3Hg12", "functional": "PBE", "state": "relaxed", "lattice_angstrom": [[16.547, 0.000, 0.000], [-5.516, 15.601, 0.000], [-5.516, -7.800, 13.511]], "species": ["Li", "Li", "Li", "Li", "Li", "Li", "Li", "Li", "Li", "Li", "Li", "Li", "Rb", "Rb", "Rb", "Rb", "Rb", "Rb", "Rb", "Rb", "Rb", "Rb", "Rb", "Rb", "Rb", "Rb", "Rb", "Rb", "Rb", "Rb", "Rb", "Rb", "Hg", "Hg", "Hg", "Hg", "Hg", "Hg", "Hg", "Hg", "Hg", "Hg", "Hg", "Hg", "Hg", "Hg", "Hg", "Hg", "Hg", "Hg", "Hg", "Hg", "Hg", "Hg", "Hg", "Hg", "Hg", "Hg", "Hg", "Hg", "Hg", "Hg", "Hg", "Hg", "Hg", "Hg", "Hg", "Hg", "Hg", "Hg", "Hg", "Hg", "Hg", "Hg", "Hg", "Hg", "Hg", "Hg", "Hg", "Hg"], "fractional_positions": [[0.750, 0.375, 0.125], [0.875, 0.750, 0.125], [0.375, 0.750, 0.625], [0.250, 0.125, 0.375], [0.875, 0.125, 0.250], [0.375, 0.625, 0.250], [0.625, 0.375, 0.750], [0.125, 0.875, 0.750], [0.750, 0.875, 0.625], [0.625, 0.250, 0.375], [0.125, 0.250, 0.875], [0.250, 0.625, 0.875], [0.125, 0.375, 0.250], [0.000, 0.500, 0.000], [0.000, 0.000, 0.000], [0.375, 0.250, 0.125], [0.500, 0.000, 0.500], [0.500, 0.500, 0.000], [0.125, 0.750, 0.375], [0.750, 0.125, 0.875], [0.750, 0.625, 0.375], [0.375, 0.125, 0.750], [0.625, 0.875, 0.250], [0.500, 0.500, 0.500], [0.500, 0.000, 0.000], [0.000, 0.000, 0.500], [0.250, 0.375, 0.625], [0.250, 0.875, 0.125], [0.000, 0.500, 0.500], [0.875, 0.250, 0.625], [0.625, 0.750, 0.875], [0.875, 0.625, 0.750], [0.748, 0.147, 0.101], [0.353, 0.601, 0.454], [0.899, 0.353, 0.252], [0.601, 0.248, 0.147], [0.601, 0.748, 0.647], [0.899, 0.546, 0.147], [0.353, 0.752, 0.399], [0.046, 0.899, 0.147], [0.546, 0.899, 0.647], [0.748, 0.601, 0.147], [0.752, 0.399, 0.353], [0.853, 0.954, 0.101], [0.147, 0.748, 0.601], [0.353, 0.454, 0.101], [0.101, 0.954, 0.353], [0.399, 0.147, 0.546], [0.101, 0.147, 0.248], [0.399, 0.647, 0.046], [0.853, 0.899, 0.252], [0.147, 0.399, 0.046], [0.353, 0.899, 0.752], [0.546, 0.647, 0.399], [0.954, 0.853, 0.601], [0.752, 0.353, 0.899], [0.454, 0.353, 0.601], [0.046, 0.147, 0.399], [0.248, 0.647, 0.101], [0.147, 0.101, 0.748], [0.647, 0.101, 0.248], [0.853, 0.601, 0.954], [0.601, 0.353, 0.954], [0.601, 0.853, 0.454], [0.899, 0.853, 0.752], [0.899, 0.046, 0.647], [0.853, 0.252, 0.399], [0.147, 0.046, 0.899], [0.647, 0.546, 0.899], [0.454, 0.101, 0.353], [0.252, 0.399, 0.853], [0.248, 0.601, 0.647], [0.954, 0.101, 0.853], [0.647, 0.248, 0.601], [0.399, 0.752, 0.853], [0.101, 0.454, 0.853], [0.399, 0.252, 0.353], [0.101, 0.647, 0.748], [0.647, 0.399, 0.546], [0.252, 0.853, 0.899]], "n_ef_per_ev_atom": 0.423, "dft_energy_ev_per_atom": -0.809, "formation_enthalpy_0k_mev_per_atom": -99, "mass_density_g_cm3": 5.44, "spacegroup": "No. 230"}

***

{"formula": "HoLuTiTl", "functional": "PBE", "state": "relaxed", "lattice_angstrom": [[-3.345, -2.548, -3.085], [1.318, -1.108, -4.923], [0.974, -4.931, -1.392]], "species": ["Tl", "Lu", "Ho", "Ti"], "fractional_positions": [[0.750, 0.750, 0.750], [0.000, 0.000, 0.000], [0.500, 0.500, 0.500], [0.250, 0.250, 0.250]], "n_ef_per_ev_atom": 0.971, "dft_energy_ev_per_atom": -4.829, "formation_enthalpy_0k_mev_per_atom": 11, "mass_density_g_cm3": 9.80, "spacegroup": "No. 216"}

***

{"formula": "ZnCd2N", "functional": "PBE", "state": "relaxed", "lattice_angstrom": [[0.000, 3.205, 3.205], [3.205, 0.000, 3.205], [3.205, 3.205, 0.000]], "species": ["Zn", "N", "Cd", "Cd"], "fractional_positions": [[0.500, 0.500, 0.500], [0.000, 0.000, 0.000], [0.250, 0.250, 0.250], [0.750, 0.750, 0.750]], "n_ef_per_ev_atom": 0.424, "dft_energy_ev_per_atom": -1.986, "de_polymorph_mev_per_atom": 294.8, "mass_density_g_cm3": 7.67, "formation_energy_uncorrected_kj_per_mol_fu": 336, "spacegroup": "No. 225"}

***

{"formula": "AcPrCd6", "functional": "PBE", "state": "relaxed", "lattice_angstrom": [[5.009, 0.000, 0.000], [0.000, 6.913, 0.047], [0.000, -3.018, 6.219]], "species": ["Ac", "Pr", "Cd", "Cd", "Cd", "Cd", "Cd", "Cd"], "fractional_positions": [[0.500, 0.394, 0.606], [0.000, 0.104, 0.896], [0.000, 0.042, 0.371], [0.000, 0.629, 0.958], [0.000, 0.590, 0.410], [0.500, 0.446, 0.126], [0.500, 0.874, 0.554], [0.500, 0.921, 0.079]], "n_ef_per_ev_atom": 0.601, "dft_energy_ev_per_atom": -2.080, "formation_enthalpy_0k_mev_per_atom": -283, "mass_density_g_cm3": 8.01, "spacegroup": "No. 38"}

***

{"formula": "SrNiB3", "functional": "PBE", "state": "relaxed", "lattice_angstrom": [[-4.716, -0.169, -0.302], [-0.133, -2.922, 3.716], [-0.319, 3.715, 2.909]], "species": ["Sr", "B", "B", "B", "Ni"], "fractional_positions": [[0.000, 0.000, 0.000], [0.000, 0.500, 0.000], [0.000, 0.000, 0.500], [0.500, 0.000, 0.000], [0.500, 0.500, 0.500]], "n_ef_per_ev_atom": 1.288, "dft_energy_ev_per_atom": -2.271, "formation_enthalpy_0k_mev_per_atom": 3228, "de_polymorph_mev_per_atom": 2515.5, "mass_density_g_cm3": 2.81, "spacegroup": "No. 221"}

***

{"formula": "LaY2ScF", "functional": "PBE", "state": "relaxed", "lattice_angstrom": [[4.955, 0.000, 0.000], [0.000, 4.955, 0.000], [0.000, 0.000, 5.238]], "species": ["Y", "Y", "Sc", "F", "La"], "fractional_positions": [[0.000, 0.500, 0.000], [0.500, 0.000, 0.000], [0.500, 0.500, 0.500], [0.000, 0.000, 0.000], [0.000, 0.000, 0.500]], "n_ef_per_ev_atom": 1.235, "dft_energy_ev_per_atom": -6.142, "mass_density_g_cm3": 4.92, "formation_energy_uncorrected_kj_per_mol_fu": -449, "spacegroup": "No. 123"}